Tm3PuHg12: optimized geometry, PBE.

a = 4.4758 Å, b = 4.4758 Å, c = 19.5176 Å
α = 90.00°, β = 90.00°, γ = 90.00°
Last column: nearest neighbours and their distance in Å.
Sites, in units of the cell vectors:
1 Tm 0.0000 0.0000 0.2527  12 Hg 3.16-3.30
2 Hg 0.5000 0.0000 0.6233  8 Hg 3.16-3.29, 4 Tm 3.29-3.30
3 Hg 0.0000 0.5000 0.3767  8 Hg 3.16-3.29, 4 Tm 3.29-3.30
4 Hg 0.0000 0.5000 0.6233  8 Hg 3.16-3.29, 4 Tm 3.29-3.30
5 Hg 0.5000 0.0000 0.3767  8 Hg 3.16-3.29, 4 Tm 3.29-3.30
6 Hg 0.5000 0.5000 0.5000  4 Tm 3.16, 8 Hg 3.29
7 Hg 0.5000 0.5000 0.2538  4 Tm 3.16, 8 Hg 3.28-3.30
8 Hg 0.0000 0.5000 0.8707  8 Hg 3.16-3.37, 2 Tm 3.29, 2 Pu 3.37
9 Tm 0.0000 0.0000 0.7473  12 Hg 3.16-3.30
10 Hg 0.5000 0.0000 0.8708  8 Hg 3.16-3.37, 2 Tm 3.29, 2 Pu 3.37
11 Hg 0.5000 0.5000 0.0000  4 Pu 3.16, 8 Hg 3.37
12 Tm 0.0000 0.0000 0.5000  12 Hg 3.16-3.29
13 Hg 0.0000 0.5000 0.1293  8 Hg 3.16-3.37, 2 Tm 3.29, 2 Pu 3.37
14 Pu 0.0000 0.0000 0.0000  12 Hg 3.16-3.37
15 Hg 0.5000 0.0000 0.1292  8 Hg 3.16-3.37, 2 Tm 3.29, 2 Pu 3.37
16 Hg 0.5000 0.5000 0.7462  4 Tm 3.16, 8 Hg 3.28-3.30

Summary:
Its space-group type is P4/mmm. Its formation energy from the elements is -0.22 eV/atom. The volume comes out at 24.437 Å³ per atom.